No. 1
This record from the Alexandria database describes a geometry-optimized Y3HoPb2C structure. The functional is PBE-GGA. Values from VASP.

## Properties
- final energy (eV/atom) = -6.38

Quantum ESPRESSO input file:
```
&SYSTEM
  ibrav = 0, nat = 7, ntyp = 4
/
ATOMIC_SPECIES
Y 88.91 Y.upf
Ho 164.93 Ho.upf
Pb 207.20 Pb.upf
C 12.01 C.upf
ATOMIC_POSITIONS crystal
Y 0.000 0.000 0.000
Y 0.342 0.842 0.500
Y 0.658 0.158 0.500
Ho 0.500 0.500 0.000
Pb 0.142 0.642 0.500
Pb 0.858 0.358 0.500
C 0.500 0.000 0.500
CELL_PARAMETERS angstrom
-2.407 2.415 8.059
2.407 -2.415 8.059
2.407 2.415 -8.059
```



No. 2
This record from the Alexandria database describes a geometry-optimized YHo3Pb2C structure. The functional is PBE-GGA. Values from VASP.

## Properties
- final energy (eV/atom) = -5.82

Quantum ESPRESSO input file:
```
&SYSTEM
  ibrav = 0, nat = 7, ntyp = 4
/
ATOMIC_SPECIES
Y 88.91 Y.upf
Ho 164.93 Ho.upf
Pb 207.20 Pb.upf
C 12.01 C.upf
ATOMIC_POSITIONS crystal
Y 0.000 0.000 0.000
Ho 0.343 0.843 0.500
Ho 0.500 0.500 0.000
Ho 0.657 0.157 0.500
Pb 0.143 0.643 0.500
Pb 0.857 0.357 0.500
C 0.500 0.000 0.500
CELL_PARAMETERS angstrom
-2.404 2.412 8.021
2.404 -2.412 8.021
2.404 2.412 -8.021
```



No. 3
This record from the Alexandria database describes a geometry-optimized Ho2PdC structure. The functional is PBE-GGA. Values from VASP.

## Properties
- final energy (eV/atom) = -6.39

Quantum ESPRESSO input file:
```
&SYSTEM
  ibrav = 0, nat = 4, ntyp = 3
/
ATOMIC_SPECIES
Ho 164.93 Ho.upf
Pd 106.42 Pd.upf
C 12.01 C.upf
ATOMIC_POSITIONS crystal
Ho 0.233 0.233 0.233
Ho 0.767 0.767 0.767
Pd 0.000 0.000 0.000
C 0.500 0.500 0.500
CELL_PARAMETERS angstrom
1.811 1.045 6.854
-1.811 1.045 6.854
0.000 -2.091 6.854
```



No. 4
This record from the Alexandria database describes a geometry-optimized Ho3PdC structure. The functional is PBE-GGA. Values from VASP.

## Properties
- final energy (eV/atom) = -6.00

Quantum ESPRESSO input file:
```
&SYSTEM
  ibrav = 0, nat = 5, ntyp = 3
/
ATOMIC_SPECIES
Ho 164.93 Ho.upf
Pd 106.42 Pd.upf
C 12.01 C.upf
ATOMIC_POSITIONS crystal
Ho 0.000 0.000 0.500
Ho 0.000 0.500 0.000
Ho 0.500 0.000 0.000
Pd 0.500 0.500 0.500
C 0.000 0.000 0.000
CELL_PARAMETERS angstrom
4.809 0.000 0.000
0.000 4.809 0.000
0.000 0.000 4.809
```



No. 5
This record from the Alexandria database describes a geometry-optimized Ho12Pd3C5 structure. The functional is PBE-GGA. Values from VASP.

## Properties
- final energy (eV/atom) = -6.13

Quantum ESPRESSO input file:
```
&SYSTEM
  ibrav = 0, nat = 80, ntyp = 3
/
ATOMIC_SPECIES
Ho 164.93 Ho.upf
Pd 106.42 Pd.upf
C 12.01 C.upf
ATOMIC_POSITIONS crystal
Ho 0.024 0.204 0.119
Ho 0.024 0.319 0.904
Ho 0.085 0.704 0.681
Ho 0.085 0.881 0.404
Ho 0.096 0.619 0.415
Ho 0.096 0.976 0.681
Ho 0.119 0.024 0.204
Ho 0.119 0.596 0.915
Ho 0.181 0.204 0.585
Ho 0.181 0.476 0.596
Ho 0.204 0.119 0.024
Ho 0.204 0.585 0.181
Ho 0.296 0.319 0.915
Ho 0.296 0.476 0.381
Ho 0.319 0.904 0.024
Ho 0.319 0.915 0.296
Ho 0.381 0.296 0.476
Ho 0.381 0.585 0.904
Ho 0.404 0.085 0.881
Ho 0.404 0.819 0.524
Ho 0.415 0.096 0.619
Ho 0.415 0.819 0.796
Ho 0.476 0.381 0.296
Ho 0.476 0.596 0.181
Ho 0.524 0.404 0.819
Ho 0.524 0.619 0.704
Ho 0.585 0.181 0.204
Ho 0.585 0.904 0.381
Ho 0.596 0.181 0.476
Ho 0.596 0.915 0.119
Ho 0.619 0.415 0.096
Ho 0.619 0.704 0.524
Ho 0.681 0.085 0.704
Ho 0.681 0.096 0.976
Ho 0.704 0.524 0.619
Ho 0.704 0.681 0.085
Ho 0.796 0.415 0.819
Ho 0.796 0.881 0.976
Ho 0.819 0.524 0.404
Ho 0.819 0.796 0.415
Ho 0.881 0.404 0.085
Ho 0.881 0.976 0.796
Ho 0.904 0.024 0.319
Ho 0.904 0.381 0.585
Ho 0.915 0.119 0.596
Ho 0.915 0.296 0.319
Ho 0.976 0.681 0.096
Ho 0.976 0.796 0.881
Pd 0.125 0.250 0.375
Pd 0.125 0.375 0.750
Pd 0.250 0.375 0.125
Pd 0.250 0.875 0.625
Pd 0.375 0.125 0.250
Pd 0.375 0.750 0.125
Pd 0.625 0.250 0.875
Pd 0.625 0.875 0.750
Pd 0.750 0.125 0.375
Pd 0.750 0.625 0.875
Pd 0.875 0.625 0.250
Pd 0.875 0.750 0.625
C 0.000 0.000 0.000
C 0.000 0.000 0.500
C 0.000 0.500 0.000
C 0.000 0.500 0.500
C 0.125 0.750 0.875
C 0.125 0.875 0.250
C 0.250 0.125 0.875
C 0.250 0.625 0.375
C 0.375 0.250 0.625
C 0.375 0.625 0.750
C 0.500 0.000 0.000
C 0.500 0.000 0.500
C 0.500 0.500 0.000
C 0.500 0.500 0.500
C 0.625 0.375 0.250
C 0.625 0.750 0.375
C 0.750 0.375 0.625
C 0.750 0.875 0.125
C 0.875 0.125 0.750
C 0.875 0.250 0.125
CELL_PARAMETERS angstrom
-7.721 7.721 7.721
7.721 -7.721 7.721
7.721 7.721 -7.721
```



No. 6
This record from the Alexandria database describes a geometry-optimized Ho4Pd2C structure. The functional is PBE-GGA. Values from VASP.

## Properties
- final energy (eV/atom) = -5.64

Quantum ESPRESSO input file:
```
&SYSTEM
  ibrav = 0, nat = 7, ntyp = 3
/
ATOMIC_SPECIES
Ho 164.93 Ho.upf
Pd 106.42 Pd.upf
C 12.01 C.upf
ATOMIC_POSITIONS crystal
Ho 0.000 0.500 0.500
Ho 0.186 0.186 0.000
Ho 0.500 0.000 0.500
Ho 0.814 0.814 0.000
Pd 0.360 0.360 0.000
Pd 0.640 0.640 0.000
C 0.500 0.500 0.000
CELL_PARAMETERS angstrom
-2.312 2.312 7.874
2.312 -2.312 7.874
2.312 2.312 -7.874
```



Result set for formation enthalpy at 0 K: -0.58 -0.55 -0.50 -0.37 -0.29 -0.22 eV per atom, one per record in the order listed.